Below is crystalline Zr4Tl3 at its relaxed geometry, with properties calculated at the PBE level.

```
7
Lattice="11.541 -1.679 0.000 11.541 1.679 0.000 -0.770 0.000 4.153" Properties=species:S:1:pos:R:3 pbc="T T T"
Zr 1.537 0.000 0.285
Zr 4.719 0.000 0.878
Zr 17.593 0.000 3.274
Zr 20.775 0.000 3.868
Tl 7.927 0.000 1.475
Tl 11.156 0.000 2.076
Tl 14.386 0.000 2.678
```

ΔH_f (0 K) = -76 meV per atom
ΔE to the lowest computed polymorph = 0 meV per atom


Below is crystalline Zr7Tl3 at its relaxed geometry, with properties calculated at the PBE level.

```
10
Lattice="8.188 -2.249 0.000 8.188 2.249 0.000 -1.479 0.000 6.186" Properties=species:S:1:pos:R:3 pbc="T T T"
Zr 0.000 0.000 0.000
Zr 2.431 0.000 3.732
Zr 6.153 0.000 1.221
Zr 5.652 0.000 4.322
Zr 9.245 0.000 1.864
Zr 8.744 0.000 4.965
Zr 12.466 0.000 2.454
Tl -0.740 0.000 3.093
Tl 3.010 0.000 0.692
Tl 11.887 0.000 5.494
```

ΔH_f (0 K) = -73 meV per atom


Below is crystalline Zr3Tl at its relaxed geometry, with properties calculated at the PBE level.

```
4
Lattice="3.324 0.000 0.000 0.000 4.127 0.000 0.000 0.000 6.694" Properties=species:S:1:pos:R:3 pbc="T T T"
Zr 0.000 0.000 0.000
Zr 1.662 2.063 1.670
Zr 1.662 2.063 5.023
Tl 0.000 0.000 3.347
```

ΔH_f (0 K) = -64 meV per atom


Number 1: density 10.091 g/cm3. Number 2: density 9.123 g/cm3. Number 3: density 8.646 g/cm3.